A relaxed ScTaTi2Cd crystal, computed with PBE.

Cell: 4.7311 4.7311 5.3909 Å, 90.00 90.00 90.00°
Closest atoms and distances in Å follow each position.
Positions (direct):
Sc 0.0000 0.0000 0.0000  4 Cd 3.35, 8 Ti 3.59
Ta 0.5000 0.5000 0.5000  4 Ti 2.37
Ti 0.0000 0.5000 0.5000  2 Ta 2.37
Ti 0.5000 0.0000 0.5000  2 Ta 2.37
Cd 0.5000 0.5000 0.0000  2 Ta 2.70

Values from the calculation:
**Energy relative to the elements**: 76 kJ per mole of atoms
**ρ**: 5973 kg/m³
**D(E_F)**: 4.7 states/eV per cell
**Space group**: No. 123
**Spin magnetization**: 0.0 μB per formula unit